A plane-wave DFT calculation with PBE was carried out for a relaxed structure of TbNdPb.

Unit cell a=4.652 b=4.652 c=8.799 alpha=90.03 beta=89.97 gamma=90.00
Fractional positions:
Tb 0.750 0.750 0.000
Tb 0.250 0.250 0.000
Pb 0.251 0.749 0.722
Pb 0.749 0.251 0.278
Nd 0.249 0.751 0.345
Nd 0.751 0.249 0.655

Output
Fermi-level density of states: 6.827 states/eV per cell
Formation enthalpy at 0 K: -446 meV per atom
Space group: P4/nmm
Total moment: 0.0 μB/cell
Total energy: -28.89 eV per cell

***

A plane-wave DFT calculation with PBE was carried out for a relaxed structure of TbNdPb.

Unit cell a=3.966 b=5.273 c=5.273 alpha=120.00 beta=90.00 gamma=90.00
Fractional positions:
Nd 0.699 0.333 0.667
Tb 0.244 0.667 0.333
Pb 0.057 0.000 0.000

Output
Fermi-level density of states: 2.964 states/eV per cell
Formation enthalpy at 0 K: -225 meV per atom
Space group: P3m1
Total moment: 0.0 μB/cell
Total energy: -13.78 eV per cell

***

A plane-wave DFT calculation with PBE was carried out for a relaxed structure of TbNd2Pb.

Unit cell a=3.670 b=3.670 c=11.484 alpha=80.80 beta=80.80 gamma=60.00
Fractional positions:
Nd 0.081 0.081 0.757
Nd 0.253 0.253 0.242
Tb 0.500 0.500 0.500
Pb 0.666 0.666 0.001

Output
Fermi-level density of states: 4.500 states/eV per cell
Formation enthalpy at 0 K: -149 meV per atom
Space group: R3m
Total moment: 0.0 μB/cell
Total energy: -18.47 eV per cell

***

A plane-wave DFT calculation with PBE was carried out for a relaxed structure of TbNd2Pb9.

Unit cell a=4.917 b=4.917 c=14.739 alpha=90.00 beta=90.00 gamma=90.00
Fractional positions:
Pb 0.000 0.500 0.836
Pb 0.000 0.500 0.500
Pb 0.000 0.500 0.164
Pb 0.500 0.000 0.500
Pb 0.500 0.500 0.668
Pb 0.500 0.500 0.000
Pb 0.500 0.000 0.164
Pb 0.500 0.000 0.836
Pb 0.500 0.500 0.332
Nd 0.000 0.000 0.332
Nd 0.000 0.000 0.668
Tb 0.000 0.000 0.000

Output
Fermi-level density of states: 5.606 states/eV per cell
Formation enthalpy at 0 K: -347 meV per atom
Space group: P4/mmm
Total moment: 0.0 μB/cell
Total energy: -51.71 eV per cell

***

A plane-wave DFT calculation with PBE was carried out for a relaxed structure of TbNd3Pb3.

Unit cell a=6.917 b=6.917 c=9.763 alpha=90.38 beta=90.38 gamma=104.14
Fractional positions:
Pb 0.520 0.959 0.742
Pb 0.959 0.520 0.742
Pb 0.038 0.038 0.765
Pb 0.962 0.962 0.235
Pb 0.480 0.041 0.258
Pb 0.041 0.480 0.258
Nd 0.230 0.770 0.000
Nd 0.573 0.573 0.312
Nd 0.186 0.814 0.500
Nd 0.814 0.186 0.500
Nd 0.427 0.427 0.688
Nd 0.770 0.230 0.000
Tb 0.287 0.287 0.032
Tb 0.713 0.713 0.968

Output
Fermi-level density of states: 15.532 states/eV per cell
Formation enthalpy at 0 K: -364 meV per atom
Space group: C2/m
Total moment: 0.0 μB/cell
Total energy: -65.21 eV per cell

***

A plane-wave DFT calculation with PBE was carried out for a relaxed structure of TbNdPb2.

Unit cell a=4.547 b=5.073 c=5.073 alpha=90.00 beta=90.00 gamma=90.00
Fractional positions:
Nd 0.500 0.000 0.000
Pb 0.000 0.500 0.000
Pb 0.000 0.000 0.500
Tb 0.500 0.500 0.500

Output
Fermi-level density of states: 3.803 states/eV per cell
Formation enthalpy at 0 K: -478 meV per atom
Space group: P4/mmm
Total moment: 0.0 μB/cell
Total energy: -18.73 eV per cell

***

A plane-wave DFT calculation with PBE was carried out for a relaxed structure of TbNdPb2.

Unit cell a=4.828 b=4.828 c=7.355 alpha=70.84 beta=70.84 gamma=60.00
Fractional positions:
Pb 0.088 0.088 0.736
Pb 0.247 0.247 0.259
Tb 0.494 0.494 0.518
Nd 0.671 0.671 0.986

Output
Fermi-level density of states: 3.584 states/eV per cell
Formation enthalpy at 0 K: -349 meV per atom
Space group: R3m
Total moment: 0.0 μB/cell
Total energy: -18.21 eV per cell

***

A plane-wave DFT calculation with PBE was carried out for a relaxed structure of TbNdPb.

Unit cell a=6.084 b=3.536 c=9.780 alpha=100.41 beta=108.12 gamma=90.00
Fractional positions:
Pb 0.156 0.656 0.312
Pb 0.844 0.344 0.688
Nd 0.667 0.167 0.333
Nd 0.333 0.833 0.667
Tb 0.746 0.500 0.000
Tb 0.254 0.500 0.000

Output
Fermi-level density of states: 8.284 states/eV per cell
Formation enthalpy at 0 K: -153 meV per atom
Space group: Immm
Total moment: 0.1 μB/cell
Total energy: -27.13 eV per cell

***

A plane-wave DFT calculation with PBE was carried out for a relaxed structure of Tb12Nd7Pb.

Unit cell a=8.818 b=8.818 c=8.818 alpha=89.07 beta=89.07 gamma=89.07
Fractional positions:
Pb 0.000 0.000 0.000
Nd 0.767 0.214 0.623
Nd 0.786 0.377 0.233
Nd 0.500 0.500 0.500
Nd 0.214 0.623 0.767
Nd 0.233 0.786 0.377
Nd 0.623 0.767 0.214
Nd 0.377 0.233 0.786
Tb 0.463 0.122 0.342
Tb 0.337 0.886 0.006
Tb 0.537 0.878 0.658
Tb 0.878 0.658 0.537
Tb 0.658 0.537 0.878
Tb 0.006 0.337 0.886
Tb 0.114 0.994 0.663
Tb 0.663 0.114 0.994
Tb 0.122 0.342 0.463
Tb 0.886 0.006 0.337
Tb 0.342 0.463 0.122
Tb 0.994 0.663 0.114

Output
Fermi-level density of states: 35.719 states/eV per cell
Formation enthalpy at 0 K: 160 meV per atom
Space group: R-3
Total moment: 0.0 μB/cell
Total energy: -89.45 eV per cell

***

A plane-wave DFT calculation with PBE was carried out for a relaxed structure of TbNd2Pb.

Unit cell a=3.536 b=3.536 c=12.425 alpha=81.82 beta=81.82 gamma=60.00
Fractional positions:
Nd 0.908 0.908 0.275
Nd 0.092 0.092 0.725
Tb 0.000 0.000 0.000
Pb 0.500 0.500 0.500

Output
Fermi-level density of states: 6.936 states/eV per cell
Formation enthalpy at 0 K: 60 meV per atom
Space group: R-3m
Total moment: 0.8 μB/cell
Total energy: -17.63 eV per cell

***

A plane-wave DFT calculation with PBE was carried out for a relaxed structure of TbNd2Pb.

Unit cell a=5.600 b=5.600 c=5.600 alpha=60.00 beta=60.00 gamma=60.00
Fractional positions:
Pb 0.500 0.500 0.500
Nd 0.750 0.750 0.750
Nd 0.250 0.250 0.250
Tb 0.000 0.000 0.000

Output
Fermi-level density of states: 7.924 states/eV per cell
Formation enthalpy at 0 K: -148 meV per atom
Space group: Fm-3m
Total moment: 0.0 μB/cell
Total energy: -18.47 eV per cell

***

A plane-wave DFT calculation with PBE was carried out for a relaxed structure of TbNd3Pb5.

Unit cell a=6.636 b=9.734 c=9.734 alpha=120.00 beta=90.00 gamma=90.00
Fractional positions:
Nd 0.750 0.619 0.619
Nd 0.750 0.381 0.000
Nd 0.250 0.000 0.619
Nd 0.250 0.381 0.381
Nd 0.250 0.619 0.000
Nd 0.750 0.000 0.381
Pb 0.250 0.284 0.000
Pb 0.750 0.000 0.716
Pb 0.500 0.667 0.333
Pb 0.000 0.333 0.667
Pb 0.000 0.667 0.333
Pb 0.500 0.333 0.667
Pb 0.250 0.000 0.284
Pb 0.250 0.716 0.716
Pb 0.750 0.284 0.284
Pb 0.750 0.716 0.000
Tb 0.000 0.000 0.000
Tb 0.500 0.000 0.000

Output
Fermi-level density of states: 17.989 states/eV per cell
Formation enthalpy at 0 K: -478 meV per atom
Space group: P6_3/mcm
Total moment: 0.0 μB/cell
Total energy: -83.56 eV per cell

***

A plane-wave DFT calculation with PBE was carried out for a relaxed structure of Tb3NdPb3.

Unit cell a=5.567 b=9.361 c=9.361 alpha=120.00 beta=90.00 gamma=90.00
Fractional positions:
Pb 0.250 0.077 0.626
Pb 0.750 0.923 0.374
Pb 0.750 0.626 0.549
Pb 0.250 0.374 0.451
Pb 0.750 0.451 0.077
Pb 0.250 0.549 0.923
Tb 0.750 0.006 0.769
Tb 0.750 0.763 0.994
Tb 0.250 0.994 0.231
Tb 0.250 0.769 0.763
Tb 0.750 0.231 0.237
Tb 0.250 0.237 0.006
Nd 0.250 0.667 0.333
Nd 0.750 0.333 0.667

Output
Fermi-level density of states: 15.318 states/eV per cell
Formation enthalpy at 0 K: -378 meV per atom
Space group: P6_3/m
Total moment: 0.0 μB/cell
Total energy: -64.86 eV per cell